1.
{
  "formula": "BeP2Ru2",
  "functional": "PBE",
  "state": "optimized geometry",
  "m_tot_mub_per_atom": 0.0000,
  "sg": "P4/mbm, No. 127",
  "n_ef_per_ev_cell": 2.3,
  "dft_energy_ev_per_atom": -6.6911,
  "cell": [[6.700, 0.000, 0.000], [0.000, 6.700, 0.000], [0.000, 0.000, 2.928]],
  "species": ["Be", "Be", "P", "P", "P", "P", "Ru", "Ru", "Ru", "Ru"],
  "fractional_positions": [[0.000, 0.000, 0.000], [0.500, 0.500, 0.000], [0.149, 0.351, 0.500], [0.351, 0.851, 0.500], [0.649, 0.149, 0.500], [0.851, 0.649, 0.500], [0.151, 0.651, 0.000], [0.349, 0.151, 0.000], [0.651, 0.849, 0.000], [0.849, 0.349, 0.000]]
}

---

2.
{
  "formula": "Rb3TeF8",
  "functional": "PBE",
  "state": "optimized geometry",
  "e_form_raw_ev_per_atom": -2.37,
  "m_tot_mub_per_atom": 0.0735,
  "sg": "I4/mmm, No. 139",
  "n_ef_per_ev_cell": 3.5,
  "dft_energy_ev_per_atom": -4.1169,
  "cell": [[-3.100, 3.100, 6.039], [3.100, -3.100, 6.039], [3.100, 3.100, -6.039]],
  "species": ["Rb", "Rb", "Rb", "Te", "F", "F", "F", "F", "F", "F", "F", "F"],
  "fractional_positions": [[0.000, 0.000, 0.000], [0.250, 0.750, 0.500], [0.750, 0.250, 0.500], [0.500, 0.500, 0.000], [0.199, 0.199, 0.603], [0.199, 0.597, 0.000], [0.403, 0.403, 0.603], [0.403, 0.801, 0.000], [0.597, 0.199, 0.000], [0.597, 0.597, 0.397], [0.801, 0.403, 0.000], [0.801, 0.801, 0.397]]
}

---

3.
{
  "formula": "Sm3Dy2Y6Th",
  "functional": "PBE",
  "state": "optimized geometry",
  "m_tot_mub_per_atom": 0.0000,
  "sg": "C2/m, No. 12",
  "n_ef_per_ev_cell": 16.3,
  "dft_energy_ev_per_atom": -5.7763,
  "cell": [[3.107, -5.379, 0.000], [3.107, 5.379, 0.000], [-2.073, 0.000, 11.664]],
  "species": ["Sm", "Sm", "Sm", "Dy", "Dy", "Y", "Y", "Y", "Y", "Y", "Y", "Th"],
  "fractional_positions": [[0.000, 0.000, 0.000], [0.333, 0.667, 0.000], [0.667, 0.333, 0.000], [0.167, 0.833, 0.500], [0.833, 0.167, 0.500], [0.087, 0.417, 0.253], [0.253, 0.253, 0.747], [0.417, 0.087, 0.253], [0.583, 0.913, 0.747], [0.747, 0.747, 0.253], [0.913, 0.583, 0.747], [0.500, 0.500, 0.500]]
}

---

4.
{
  "formula": "AcDyCdAg",
  "functional": "PBE",
  "state": "optimized geometry",
  "m_tot_mub_per_atom": 0.0000,
  "sg": "F-43m, No. 216",
  "n_ef_per_ev_cell": 2.6,
  "dft_energy_ev_per_atom": -3.3615,
  "cell": [[0.000, 3.868, 3.868], [3.868, 0.000, 3.868], [3.868, 3.868, 0.000]],
  "species": ["Ac", "Dy", "Cd", "Ag"],
  "fractional_positions": [[0.000, 0.000, 0.000], [0.500, 0.500, 0.500], [0.750, 0.750, 0.750], [0.250, 0.250, 0.250]]
}

---

5.
{
  "formula": "Tb6TaO12",
  "functional": "PBE",
  "state": "optimized geometry",
  "e_form_raw_ev_per_atom": -3.37,
  "m_tot_mub_per_atom": 0.0595,
  "sg": "R-3, No. 148",
  "n_ef_per_ev_cell": 6.8,
  "dft_energy_ev_per_atom": -8.5876,
  "cell": [[4.947, 2.856, 3.139], [-4.947, 2.856, 3.139], [0.000, -5.713, 3.139]],
  "species": ["Tb", "Tb", "Tb", "Tb", "Tb", "Tb", "Ta", "O", "O", "O", "O", "O", "O", "O", "O", "O", "O", "O", "O"],
  "fractional_positions": [[0.111, 0.801, 0.639], [0.199, 0.361, 0.889], [0.361, 0.889, 0.199], [0.639, 0.111, 0.801], [0.801, 0.639, 0.111], [0.889, 0.199, 0.361], [0.500, 0.500, 0.500], [0.062, 0.913, 0.322], [0.087, 0.678, 0.938], [0.198, 0.428, 0.541], [0.322, 0.062, 0.913], [0.428, 0.541, 0.198], [0.459, 0.802, 0.572], [0.541, 0.198, 0.428], [0.572, 0.459, 0.802], [0.678, 0.938, 0.087], [0.802, 0.572, 0.459], [0.913, 0.322, 0.062], [0.938, 0.087, 0.678]]
}

---

6.
{
  "formula": "SrBe2Re",
  "functional": "PBE",
  "state": "optimized geometry",
  "m_tot_mub_per_atom": 0.0000,
  "sg": "Pmm2, No. 25",
  "n_ef_per_ev_cell": 2.8,
  "dft_energy_ev_per_atom": -4.7390,
  "cell": [[3.093, 0.000, 0.000], [0.000, 3.316, 0.000], [0.000, 0.000, 6.914]],
  "species": ["Sr", "Be", "Be", "Re"],
  "fractional_positions": [[0.000, 0.000, 0.000], [0.000, 0.000, 0.553], [0.500, 0.500, 0.337], [0.500, 0.500, 0.650]]
}

---

7.
{
  "formula": "Sc6FeHPb2",
  "functional": "PBE",
  "state": "optimized geometry",
  "m_tot_mub_per_atom": 0.0001,
  "sg": "Fm-3m, No. 225",
  "n_ef_per_ev_cell": 9.1,
  "dft_energy_ev_per_atom": -6.0190,
  "cell": [[0.000, 4.694, 4.694], [4.694, 0.000, 4.694], [4.694, 4.694, 0.000]],
  "species": ["Sc", "Sc", "Sc", "Sc", "Sc", "Sc", "Fe", "H", "Pb", "Pb"],
  "fractional_positions": [[0.248, 0.248, 0.752], [0.248, 0.752, 0.248], [0.248, 0.752, 0.752], [0.752, 0.248, 0.248], [0.752, 0.248, 0.752], [0.752, 0.752, 0.248], [0.500, 0.500, 0.500], [0.000, 0.000, 0.000], [0.250, 0.250, 0.250], [0.750, 0.750, 0.750]]
}

---

8.
{
  "formula": "In2Hg2As",
  "functional": "PBE",
  "state": "optimized geometry",
  "m_tot_mub_per_atom": 0.0000,
  "sg": "I4/mmm, No. 139",
  "n_ef_per_ev_cell": 2.5,
  "dft_energy_ev_per_atom": -1.9792,
  "cell": [[-2.033, 2.033, 8.225], [2.033, -2.033, 8.225], [2.033, 2.033, -8.225]],
  "species": ["In", "In", "Hg", "Hg", "As"],
  "fractional_positions": [[0.090, 0.090, 0.000], [0.910, 0.910, 0.000], [0.250, 0.750, 0.500], [0.750, 0.250, 0.500], [0.500, 0.500, 0.000]]
}

---

9.
{
  "formula": "BaTa2Mn",
  "functional": "PBE",
  "state": "optimized geometry",
  "m_tot_mub_per_atom": 0.0000,
  "sg": "R-3m, No. 166",
  "n_ef_per_ev_cell": 4.3,
  "dft_energy_ev_per_atom": -7.8517,
  "cell": [[1.589, 0.918, 9.860], [-1.589, 0.918, 9.860], [0.000, -1.835, 9.860]],
  "species": ["Ba", "Ta", "Ta", "Mn"],
  "fractional_positions": [[0.000, 0.000, 0.000], [0.225, 0.225, 0.225], [0.775, 0.775, 0.775], [0.500, 0.500, 0.500]]
}

---

10.
{
  "formula": "RbNaSn",
  "functional": "PBE",
  "state": "optimized geometry",
  "m_tot_mub_per_atom": 0.0000,
  "sg": "I4/mmm, No. 139",
  "n_ef_per_ev_cell": 2.3,
  "dft_energy_ev_per_atom": -2.2555,
  "cell": [[-2.788, 2.788, 8.285], [2.788, -2.788, 8.285], [2.788, 2.788, -8.285]],
  "species": ["Rb", "Rb", "Na", "Na", "Sn", "Sn"],
  "fractional_positions": [[0.182, 0.182, 0.000], [0.818, 0.818, 0.000], [0.000, 0.500, 0.500], [0.500, 0.000, 0.500], [0.410, 0.410, 0.000], [0.590, 0.590, 0.000]]
}

---

11.
{
  "formula": "CsErPbI6",
  "functional": "PBE",
  "state": "optimized geometry",
  "e_form_raw_ev_per_atom": -1.19,
  "m_tot_mub_per_atom": 0.0000,
  "sg": "P312, No. 149",
  "n_ef_per_ev_cell": 0.0,
  "dft_energy_ev_per_atom": -3.2393,
  "cell": [[8.175, 0.000, 0.000], [-4.087, 7.079, 0.000], [0.000, 0.000, 8.476]],
  "species": ["Cs", "Er", "Pb", "I", "I", "I", "I", "I", "I"],
  "fractional_positions": [[0.000, 0.000, 0.000], [0.667, 0.333, 0.500], [0.333, 0.667, 0.500], [0.383, 0.021, 0.711], [0.383, 0.362, 0.289], [0.638, 0.021, 0.289], [0.638, 0.617, 0.711], [0.979, 0.362, 0.711], [0.979, 0.617, 0.289]]
}

---

12.
{
  "formula": "Al2O3",
  "functional": "PBE",
  "state": "optimized geometry",
  "e_form_raw_ev_per_atom": -2.80,
  "m_tot_mub_per_atom": 0.0000,
  "sg": "P1, No. 1",
  "n_ef_per_ev_cell": 0.0,
  "dft_energy_ev_per_atom": -7.2748,
  "cell": [[5.163, 0.000, 0.000], [2.354, 4.848, 0.000], [0.625, 2.322, 17.543]],
  "species": ["Al", "Al", "Al", "Al", "Al", "Al", "Al", "Al", "Al", "Al", "Al", "Al", "O", "O", "O", "O", "O", "O", "O", "O", "O", "O", "O", "O", "O", "O", "O", "O", "O", "O"],
  "fractional_positions": [[0.000, 0.000, 0.000], [0.014, 0.458, 0.125], [0.145, 0.609, 0.722], [0.179, 0.519, 0.553], [0.393, 0.540, 0.374], [0.446, 0.459, 0.035], [0.486, 0.989, 0.930], [0.523, 0.983, 0.760], [0.706, 0.478, 0.659], [0.760, 0.106, 0.166], [0.913, 0.514, 0.275], [0.975, 0.085, 0.813], [0.039, 0.652, 0.032], [0.107, 0.100, 0.905], [0.181, 0.281, 0.763], [0.249, 0.410, 0.315], [0.269, 0.792, 0.775], [0.302, 0.560, 0.467], [0.328, 0.593, 0.631], [0.403, 0.302, 0.130], [0.437, 0.791, 0.012], [0.597, 0.209, 0.970], [0.645, 0.640, 0.339], [0.707, 0.229, 0.735], [0.715, 0.908, 0.850], [0.761, 0.749, 0.696], [0.876, 0.748, 0.185], [0.899, 0.225, 0.076], [0.914, 0.273, 0.214], [0.937, 0.395, 0.584]]
}